(1)
The following is a PBE calculation of YBeInSn2 after structural relaxation, from the Alexandria database.

Structure (POSCAR):
```
YBeInSn2
1.0
5.809 0.000 0.000
0.000 5.996 0.000
0.000 0.000 5.809
Be Sn In Y
1 2 1 1
direct
0.500 0.500 0.500 Be
0.500 0.000 0.000 Sn
0.000 0.000 0.500 Sn
0.000 0.500 0.000 In
0.000 0.000 0.000 Y
```

DOS at the Fermi energy = 6.25 states/eV/cell
raw total energy = -15.57 eV per cell
size of the total moment = 0.00 μB/f.u.
crystal system = tetragonal
energy of formation from the pure elements = 1.072 eV/atom

(2)
The following is a PBE calculation of Sr2BeIn2 after structural relaxation, from the Alexandria database.

Structure (POSCAR):
```
Sr2BeIn2
1.0
5.199 0.000 0.000
0.000 5.199 0.000
2.600 2.600 6.868
In Be Sr
2 1 2
direct
0.597 0.597 0.806 In
0.403 0.403 0.194 In
0.000 0.000 0.000 Be
0.250 0.750 0.500 Sr
0.750 0.250 0.500 Sr
```

DOS at the Fermi energy = 3.71 states/eV/cell
raw total energy = -9.58 eV per cell
size of the total moment = 0.00 μB/f.u.
crystal system = tetragonal
energy of formation from the pure elements = 0.598 eV/atom

(3)
The following is a PBE calculation of SrBeIn2 after structural relaxation, from the Alexandria database.

Structure (POSCAR):
```
SrBeIn2
1.0
-1.619 4.767 2.034
-4.247 -2.442 2.342
1.647 -0.213 9.060
In Sr Be
4 2 2
direct
0.423 0.125 0.250 In
0.875 0.673 0.750 In
0.327 0.625 0.250 In
0.375 0.577 0.750 In
0.750 0.250 0.500 Sr
0.000 0.000 0.000 Sr
0.500 0.500 0.000 Be
0.250 0.750 0.500 Be
```

DOS at the Fermi energy = 3.45 states/eV/cell
raw total energy = -20.54 eV per cell
size of the total moment = 0.00 μB/f.u.
crystal system = tetragonal
energy of formation from the pure elements = 0.154 eV/atom

(4)
The following is a PBE calculation of Sr3BeIn after structural relaxation, from the Alexandria database.

Structure (POSCAR):
```
Sr3BeIn
1.0
5.873 0.000 0.000
0.000 5.873 0.000
0.000 0.000 5.873
Sr Be In
3 1 1
direct
0.000 0.000 0.500 Sr
0.500 0.000 0.000 Sr
0.000 0.500 0.000 Sr
0.000 0.000 0.000 Be
0.500 0.500 0.500 In
```

DOS at the Fermi energy = 7.86 states/eV/cell
raw total energy = -10.19 eV per cell
size of the total moment = 1.05 μB/f.u.
crystal system = cubic
energy of formation from the pure elements = 0.264 eV/atom

(5)
The following is a PBE calculation of Sr2BeIn after structural relaxation, from the Alexandria database.

Structure (POSCAR):
```
Sr2BeIn
1.0
0.000 3.948 3.948
3.948 0.000 3.948
3.948 3.948 0.000
Sr In Be
2 1 1
direct
0.750 0.750 0.750 Sr
0.250 0.250 0.250 Sr
0.500 0.500 0.500 In
0.000 0.000 0.000 Be
```

DOS at the Fermi energy = 3.89 states/eV/cell
raw total energy = -9.47 eV per cell
size of the total moment = 0.00 μB/f.u.
crystal system = cubic
energy of formation from the pure elements = 0.088 eV/atom

(6)
The following is a PBE calculation of SrBeIn2 after structural relaxation, from the Alexandria database.

Structure (POSCAR):
```
SrBeIn2
1.0
3.469 0.047 0.000
-0.432 3.443 0.000
0.000 0.000 8.040
In Sr Be
2 1 1
direct
0.000 0.000 0.940 In
0.000 0.000 0.560 In
0.500 0.500 0.250 Sr
0.500 0.500 0.750 Be
```

DOS at the Fermi energy = 1.02 states/eV/cell
raw total energy = -10.56 eV per cell
size of the total moment = 0.00 μB/f.u.
crystal system = orthorhombic
energy of formation from the pure elements = 0.081 eV/atom

(7)
The following is a PBE calculation of SrBeIn2 after structural relaxation, from the Alexandria database.

Structure (POSCAR):
```
SrBeIn2
1.0
-0.589 1.994 -3.874
3.476 -1.664 -1.385
-1.329 -5.552 -2.656
Sr In Be
1 2 1
direct
0.000 0.538 0.545 Sr
0.500 0.235 0.157 In
0.000 0.820 0.988 In
0.500 0.907 0.810 Be
```

DOS at the Fermi energy = 0.97 states/eV/cell
raw total energy = -10.63 eV per cell
size of the total moment = 0.00 μB/f.u.
crystal system = monoclinic
energy of formation from the pure elements = 0.064 eV/atom

(8)
The following is a PBE calculation of SrBeIn2 after structural relaxation, from the Alexandria database.

Structure (POSCAR):
```
SrBeIn2
1.0
3.473 0.000 0.000
0.000 3.475 0.000
0.000 0.000 7.954
In Be Sr
2 1 1
direct
0.000 0.000 0.940 In
0.000 0.000 0.560 In
0.500 0.500 0.750 Be
0.500 0.500 0.250 Sr
```

DOS at the Fermi energy = 2.28 states/eV/cell
raw total energy = -10.53 eV per cell
size of the total moment = 0.00 μB/f.u.
crystal system = tetragonal
energy of formation from the pure elements = 0.089 eV/atom